Ba2LaTa: relaxed, PBE-GGA.

Geometry as POSCAR:
```
Ba2LaTa
1.0
10.0227 0.0079 -0.0039
8.1370 5.8518 0.0039
-8.7764 -3.8703 2.9069
La Ba Ta
1 2 1
Cartesian
5.1631 -0.4662 1.4515
1.6214 0.5232 0.0000
7.4585 2.4067 0.0000
4.2202 2.4557 1.4554
```

Computed properties:
Space-group type = Immm
Formation enthalpy at 0 K = 2.75 eV/f.u.
Calculated volume = 42.6 Å³ per atom